Record 1
A plane-wave DFT calculation with PBE was carried out for a relaxed structure of SrTiHg2Rh.

a b c (Å): 5.379 5.379 4.561
angles (deg): 90.00 90.00 90.00
Fractional positions:
Sr (0.000, 0.000, 0.000)
Ti (0.500, 0.500, 0.500)
Hg (0.000, 0.500, 0.500)
Hg (0.500, 0.000, 0.500)
Rh (0.500, 0.500, 0.000)

total moment = 0.00 Bohr magnetons per cell
density = 8.049 g/cm³
E_form = -0.0083 eV per atom
space group = P4/mmm, No. 123
E = -0.1292 hartree per atom



Record 2
A plane-wave DFT calculation with PBE was carried out for a relaxed structure of NaTaGeC2.

a b c (Å): 4.275 4.275 5.037
angles (deg): 90.00 90.00 90.00
Fractional positions:
Na (0.000, 0.000, 0.000)
Ta (0.500, 0.500, 0.500)
Ge (0.500, 0.500, 0.000)
C (0.000, 0.500, 0.500)
C (0.500, 0.000, 0.500)

total moment = 0.00 Bohr magnetons per cell
density = 5.423 g/cm³
E_form = 1.1173 eV per atom
space group = P4/mmm, No. 123
E = -0.2253 hartree per atom